(1)
A relaxed Pr3ErTm12 crystal, computed with PBE.

```
16
Lattice="4.994 0.000 0.000 0.000 4.994 0.000 0.000 0.000 19.982" Properties=species:S:1:pos:R:3 pbc="T T T"
Pr 0.000 0.000 4.979
Pr 0.000 0.000 9.991
Pr 0.000 0.000 15.003
Er 0.000 0.000 0.000
Tm 2.497 2.497 0.000
Tm 2.497 2.497 4.959
Tm 2.497 2.497 9.991
Tm 2.497 2.497 15.023
Tm 2.497 0.000 2.447
Tm 2.497 0.000 7.478
Tm 2.497 0.000 12.504
Tm 2.497 0.000 17.536
Tm 0.000 2.497 2.447
Tm 0.000 2.497 7.478
Tm 0.000 2.497 12.504
Tm 0.000 2.497 17.536
```

Values from the calculation:
The spin magnetization comes out at 0.00 Bohr magnetons per cell. As for the space group: P4/mmm, No. 123. The density of states at the Fermi level comes out at 23.20 states/eV/cell. As for the calculated total energy: -72.08 eV/cell.

***

(2)
A relaxed Re3NiHg crystal, computed with PBE.

```
5
Lattice="-1.202 -2.208 -3.696 -2.226 -2.967 2.496 -3.686 2.512 -0.302" Properties=species:S:1:pos:R:3 pbc="T T T"
Re -1.113 -1.483 1.248
Re -1.843 1.256 -0.151
Re -0.601 -1.104 -1.848
Hg -3.557 -1.332 -0.751
Ni 0.000 0.000 0.000
```

Values from the calculation:
The spin magnetization comes out at 1.25 Bohr magnetons per cell. As for the space group: Pm-3m, No. 221. The energy above the most stable polymorph in this dataset comes out at 0 meV/atom. The density of states at the Fermi level comes out at 6.99 states/eV/cell. As for the calculated total energy: -34.27 eV/cell.

***

(3)
A relaxed Nd2MgGe3Pd4 crystal, computed with PBE.

```
10
Lattice="-0.495 -4.009 -1.571 2.989 0.818 -3.030 7.466 -3.443 6.435" Properties=species:S:1:pos:R:3 pbc="T T T"
Nd 1.548 -2.832 0.762
Nd 7.165 -2.206 3.373
Mg 4.980 -3.317 0.917
Ge 3.733 -1.721 3.218
Ge 6.255 -5.003 4.819
Ge 2.458 -0.035 -0.685
Pd 1.247 -1.596 -2.300
Pd 0.000 0.000 0.000
Pd 4.498 -4.193 3.305
Pd 4.215 -0.845 0.830
```

Values from the calculation:
The spin magnetization comes out at 0.00 Bohr magnetons per cell. As for the space group: P-4m2, No. 115. The density of states at the Fermi level comes out at 5.47 states/eV/cell. As for the calculated total energy: -53.84 eV/cell.

***

(4)
A relaxed LaYbAg2 crystal, computed with PBE.

```
4
Lattice="-4.591 -2.247 1.354 -1.741 -4.249 -2.624 -0.034 -4.734 2.358" Properties=species:S:1:pos:R:3 pbc="T T T"
Yb -1.592 -2.807 0.272
Ag -3.183 -5.615 0.544
Ag -4.591 -2.247 1.354
La -4.775 -8.422 0.816
```

Values from the calculation:
The spin magnetization comes out at 0.00 Bohr magnetons per cell. As for the space group: Fm-3m, No. 225. The density of states at the Fermi level comes out at 3.24 states/eV/cell. As for the calculated total energy: -13.64 eV/cell.

***

(5)
A relaxed VMo4W3 crystal, computed with PBE.

```
8
Lattice="-1.443 2.734 -0.628 -2.492 -2.029 -3.105 -6.170 -1.842 6.155" Properties=species:S:1:pos:R:3 pbc="T T T"
Mo -3.085 -0.921 3.077
Mo -5.894 -2.402 3.085
Mo 0.000 0.000 0.000
Mo -2.767 -1.468 -0.035
W -2.245 0.912 1.205
W -5.052 -0.568 1.211
W -5.368 -0.020 4.321
V -1.967 0.353 -1.867
```

Values from the calculation:
The spin magnetization comes out at 0.00 Bohr magnetons per cell. As for the space group: Pmmm, No. 47. The energy above the most stable polymorph in this dataset comes out at 0 meV/atom. The density of states at the Fermi level comes out at 4.17 states/eV/cell. As for the calculated total energy: -91.84 eV/cell.

***

(6)
A relaxed DyHo4Tm6 crystal, computed with PBE.

```
11
Lattice="-7.423 0.997 0.731 0.362 -2.498 7.089 4.545 6.785 -1.836" Properties=species:S:1:pos:R:3 pbc="T T T"
Dy -3.530 -0.750 3.910
Ho 3.446 3.944 3.868
Ho -5.721 -0.320 6.828
Ho -1.729 6.267 -0.359
Ho -1.027 0.677 1.630
Tm -5.051 2.315 3.125
Tm -1.264 0.615 6.218
Tm -1.075 3.454 3.214
Tm 0.181 -1.249 3.545
Tm 2.359 4.184 -0.589
Tm -3.712 0.498 0.365
```

Values from the calculation:
The spin magnetization comes out at 0.00 Bohr magnetons per cell. As for the space group: I-42m, No. 121. The energy above the most stable polymorph in this dataset comes out at 343 meV/atom. The density of states at the Fermi level comes out at 15.28 states/eV/cell. As for the calculated total energy: -44.56 eV/cell.

***

(7)
A relaxed Hg3TeCl4 crystal, computed with PBE.

```
16
Lattice="-3.876 -4.224 -4.024 2.644 -2.742 6.426 -9.557 7.322 1.520" Properties=species:S:1:pos:R:3 pbc="T T T"
Te -9.487 2.131 -1.592
Te -3.184 0.131 -0.769
Hg -10.493 3.346 0.638
Hg -5.803 -0.411 -0.214
Hg -5.161 1.364 4.073
Hg -0.722 -2.667 2.960
Hg -8.684 0.119 2.957
Hg -4.423 -4.106 1.659
Cl -9.603 5.352 2.165
Cl -3.892 2.707 2.373
Cl -7.147 1.442 1.014
Cl -3.474 -3.424 -0.895
Cl -6.425 3.590 5.180
Cl -3.402 -1.983 2.597
Cl -6.664 -2.451 1.461
Cl -0.974 -5.118 1.648
```

Values from the calculation:
The spin magnetization comes out at 0.00 Bohr magnetons per cell. As for the space group: Cc, No. 9. The energy above the most stable polymorph in this dataset comes out at 22 meV/atom. The density of states at the Fermi level comes out at 0.00 states/eV/cell. As for the calculated total energy: -31.06 eV/cell. As for the uncorrected formation energy: -512 meV per atom.

***

(8)
A relaxed Pu3NpU4P8 crystal, computed with PBE.

```
16
Lattice="-0.677 -6.708 4.061 5.954 -3.141 -4.191 1.060 6.810 3.802" Properties=species:S:1:pos:R:3 pbc="T T T"
Pu 2.639 -4.925 -0.065
Pu 3.169 -1.520 1.836
Pu 3.507 1.835 -0.195
Np 2.977 -1.571 -2.095
U -0.339 -3.354 2.031
U 0.191 0.051 3.932
U 0.000 0.000 0.000
U 0.530 3.405 1.901
P 4.323 -4.030 -2.129
P 4.854 -0.637 -0.234
P 1.813 0.945 1.870
P 3.986 -7.396 -0.093
P 2.351 4.357 3.765
P 4.524 -3.984 1.802
P 1.483 -2.402 3.906
P 2.015 0.991 5.801
```

Values from the calculation:
The spin magnetization comes out at 2.13 Bohr magnetons per cell. As for the space group: R-3m, No. 166. The density of states at the Fermi level comes out at 58.87 states/eV/cell. As for the calculated total energy: -160.56 eV/cell.

***

(9)
A relaxed CsSbSeBr2 crystal, computed with PBE.

```
5
Lattice="6.362 0.000 0.000 0.000 6.362 0.000 0.000 0.000 5.790" Properties=species:S:1:pos:R:3 pbc="T T T"
Cs 0.000 0.000 0.000
Sb 3.181 3.181 2.895
Se 0.000 0.000 2.895
Br 0.000 3.181 0.000
Br 3.181 0.000 0.000
```

Values from the calculation:
The spin magnetization comes out at 0.00 Bohr magnetons per cell. As for the space group: P4/mmm, No. 123. The energy above the most stable polymorph in this dataset comes out at 1396 meV/atom. The density of states at the Fermi level comes out at 8.02 states/eV/cell. As for the calculated total energy: -9.06 eV/cell. As for the uncorrected formation energy: 549 meV per atom.

***

(10)
A relaxed TlMo3P3 crystal, computed with PBE.

```
14
Lattice="-7.632 0.541 6.470 2.244 -5.501 -4.295 2.696 -1.480 3.304" Properties=species:S:1:pos:R:3 pbc="T T T"
P -5.661 -1.688 5.405
P -3.955 -3.403 3.245
P -1.674 -1.462 2.253
P 2.970 -4.752 0.074
P 1.264 -3.037 2.234
P -1.018 -4.978 3.227
Tl -0.498 -4.280 0.032
Tl -2.193 -2.161 5.447
Mo 0.323 -1.279 0.705
Mo -2.865 -4.874 1.697
Mo 1.754 -4.649 -1.972
Mo -3.015 -5.161 4.774
Mo 0.174 -1.567 3.782
Mo -4.445 -1.791 7.451
```

Values from the calculation:
The spin magnetization comes out at 0.00 Bohr magnetons per cell. As for the space group: P2_1/m, No. 11. The energy above the most stable polymorph in this dataset comes out at 0 meV/atom. The density of states at the Fermi level comes out at 7.18 states/eV/cell. As for the calculated total energy: -104.86 eV/cell.

***

(11)
A relaxed Nd4Zn3Au crystal, computed with PBE.

```
8
Lattice="3.717 0.000 0.000 0.000 3.717 0.000 0.000 0.000 14.587" Properties=species:S:1:pos:R:3 pbc="T T T"
Au 1.858 1.858 0.000
Zn 1.858 1.858 3.716
Zn 1.858 1.858 7.294
Zn 1.858 1.858 10.871
Nd 0.000 0.000 12.734
Nd 0.000 0.000 1.854
Nd 0.000 0.000 5.465
Nd 0.000 0.000 9.123
```

Values from the calculation:
The spin magnetization comes out at 0.00 Bohr magnetons per cell. As for the space group: P4/mmm, No. 123. The energy above the most stable polymorph in this dataset comes out at 0 meV/atom. The density of states at the Fermi level comes out at 8.11 states/eV/cell. As for the calculated total energy: -29.56 eV/cell.

***

(12)
A relaxed LuCuRhPb crystal, computed with PBE.

```
4
Lattice="-3.992 1.166 2.265 -2.214 -3.202 2.696 0.001 0.466 4.713" Properties=species:S:1:pos:R:3 pbc="T T T"
Pb 0.000 0.000 0.000
Lu -3.102 -0.785 4.837
Rh -4.653 -1.178 7.256
Cu -1.551 -0.393 2.419
```

Values from the calculation:
The spin magnetization comes out at 0.00 Bohr magnetons per cell. As for the space group: F-43m, No. 216. The density of states at the Fermi level comes out at 2.53 states/eV/cell. As for the calculated total energy: -21.07 eV/cell.

***

- Number 6 is which compound?
  DyHo4Tm6